# 1
Crystalline La2MgBi at its relaxed geometry, computed with PBE-GGA.

POSCAR file:
```
La2MgBi
1.0
1.798 1.038 12.087
-1.798 1.038 12.087
0.000 -2.076 12.087
La Mg Bi
2 1 1
direct
0.091 0.091 0.091 La
0.909 0.909 0.909 La
0.500 0.500 0.500 Mg
0.000 0.000 0.000 Bi
```

Summary:
* E above lowest polymorph: 504 meV/atom
* symmetry: No. 166
* total energy: -3.86 eV per atom
* calculated formation energy: -29 meV per atom
* N(E_F): 1.1904 states/eV per atom



# 2
Crystalline LaTa2Al2 at its relaxed geometry, computed with PBE-GGA.

POSCAR file:
```
LaTa2Al2
1.0
-2.216 2.216 5.746
2.216 -2.216 5.746
2.216 2.216 -5.746
La Ta Al
1 2 2
direct
0.000 0.000 0.000 La
0.388 0.388 0.000 Ta
0.612 0.612 0.000 Ta
0.250 0.750 0.500 Al
0.750 0.250 0.500 Al
```

Summary:
* E above lowest polymorph: 245 meV/atom
* symmetry: No. 139
* total energy: -6.93 eV per atom
* calculated formation energy: 290 meV per atom
* N(E_F): 0.9540 states/eV per atom



# 3
Crystalline Cu3AsO6 at its relaxed geometry, computed with PBE-GGA.

POSCAR file:
```
Cu3AsO6
1.0
4.104 -5.945 0.000
4.104 5.945 0.000
0.000 0.000 5.310
Cu As O
6 2 12
direct
0.006 0.994 0.500 Cu
0.180 0.440 0.650 Cu
0.440 0.180 0.150 Cu
0.560 0.820 0.650 Cu
0.820 0.560 0.150 Cu
0.994 0.006 0.000 Cu
0.301 0.699 0.094 As
0.699 0.301 0.594 As
0.063 0.594 0.982 O
0.136 0.174 0.748 O
0.174 0.136 0.248 O
0.327 0.673 0.415 O
0.406 0.937 0.982 O
0.418 0.582 0.886 O
0.582 0.418 0.386 O
0.594 0.063 0.482 O
0.673 0.327 0.915 O
0.826 0.864 0.748 O
0.864 0.826 0.248 O
0.937 0.406 0.482 O
```

Summary:
* E above lowest polymorph: 0 meV/atom
* E_form (uncorrected): -694 meV per atom
* symmetry: No. 36
* total energy: -5.36 eV per atom
* N(E_F): 0.1413 states/eV per atom



# 4
Crystalline NaLi3Y at its relaxed geometry, computed with PBE-GGA.

POSCAR file:
```
NaLi3Y
1.0
5.851 0.000 0.000
0.000 5.851 0.000
0.000 0.000 5.851
Na Li Y
1 3 1
direct
0.000 0.000 0.000 Na
0.000 0.500 0.500 Li
0.500 0.000 0.500 Li
0.500 0.500 0.000 Li
0.500 0.500 0.500 Y
```

Summary:
* E above lowest polymorph: 425 meV/atom
* symmetry: No. 221
* total energy: -1.86 eV per atom
* calculated formation energy: 844 meV per atom
* N(E_F): 1.4883 states/eV per atom